{
  "formula": "PrSmTm3Th",
  "functional": "PBE",
  "state": "relaxed",
  "lattice_angstrom": [[-4.232, -1.886, -3.176], [-0.668, -5.014, 8.833], [-4.203, 5.064, 2.594]],
  "species": ["Sm", "Sm", "Tm", "Tm", "Tm", "Tm", "Tm", "Tm", "Pr", "Pr", "Th", "Th"],
  "frac_coords": [[0.351, 0.701, 0.538], [0.649, 0.299, 0.462], [0.476, 0.953, 0.255], [0.221, 0.442, 0.247], [0.158, 0.315, 0.744], [0.524, 0.047, 0.745], [0.779, 0.558, 0.753], [0.842, 0.685, 0.256], [0.646, 0.293, 0.041], [0.354, 0.707, 0.959], [0.947, 0.894, 0.733], [0.053, 0.106, 0.267]],
  "dft_energy_ev_per_atom": -4.8343,
  "e_form_ev_per_atom": 0.221,
  "magnetic_moment_mub_per_fu": 0.0
}

***

{
  "formula": "Pr3SmTm6Th2",
  "functional": "PBE",
  "state": "relaxed",
  "lattice_angstrom": [[6.205, 0.000, 0.011], [-3.101, 5.375, 0.011], [-1.059, -1.834, 11.513]],
  "species": ["Pr", "Pr", "Pr", "Th", "Th", "Tm", "Tm", "Tm", "Tm", "Tm", "Tm", "Sm"],
  "frac_coords": [[0.166, 0.834, 0.500], [0.500, 0.500, 0.500], [0.834, 0.166, 0.500], [0.667, 0.333, 0.000], [0.333, 0.667, 0.000], [0.420, 0.082, 0.245], [0.580, 0.918, 0.755], [0.918, 0.580, 0.755], [0.744, 0.744, 0.245], [0.082, 0.420, 0.245], [0.256, 0.256, 0.755], [0.000, 0.000, 0.000]],
  "dft_energy_ev_per_atom": -5.0358,
  "e_form_ev_per_atom": 0.025,
  "magnetic_moment_mub_per_fu": 0.0
}

***

{
  "formula": "Pr2SmTm4Th",
  "functional": "PBE",
  "state": "relaxed",
  "lattice_angstrom": [[5.115, 0.000, 0.000], [0.000, 4.981, 1.110], [0.000, 2.822, 10.751]],
  "species": ["Tm", "Tm", "Tm", "Tm", "Sm", "Th", "Pr", "Pr"],
  "frac_coords": [[0.000, 0.246, 0.254], [0.500, 0.254, 0.746], [0.500, 0.746, 0.254], [0.000, 0.754, 0.746], [0.500, 0.500, 0.000], [0.000, 0.500, 0.500], [0.500, 0.000, 0.500], [0.000, 0.000, 0.000]],
  "dft_energy_ev_per_atom": -4.9171,
  "e_form_ev_per_atom": 0.031,
  "magnetic_moment_mub_per_fu": 0.0
}

***

{
  "formula": "Pr6Sm2TmTh",
  "functional": "PBE",
  "state": "relaxed",
  "lattice_angstrom": [[9.422, -2.285, -2.371], [0.802, 8.666, -1.949], [0.802, -2.269, 8.588]],
  "species": ["Sm", "Sm", "Sm", "Sm", "Pr", "Pr", "Pr", "Pr", "Pr", "Pr", "Pr", "Pr", "Pr", "Pr", "Pr", "Pr", "Th", "Th", "Tm", "Tm"],
  "frac_coords": [[0.548, 0.196, 0.286], [0.452, 0.804, 0.714], [0.048, 0.286, 0.196], [0.952, 0.714, 0.804], [0.445, 0.249, 0.890], [0.381, 0.506, 0.300], [0.689, 0.010, 0.577], [0.055, 0.110, 0.751], [0.119, 0.700, 0.494], [0.311, 0.990, 0.423], [0.555, 0.751, 0.110], [0.881, 0.300, 0.506], [0.811, 0.423, 0.990], [0.619, 0.494, 0.700], [0.945, 0.890, 0.249], [0.189, 0.577, 0.010], [0.250, 0.978, 0.022], [0.750, 0.022, 0.978], [0.250, 0.408, 0.592], [0.750, 0.592, 0.408]],
  "dft_energy_ev_per_atom": -4.8579,
  "e_form_ev_per_atom": 0.143,
  "magnetic_moment_mub_per_fu": 0.0
}

***

{
  "formula": "PrSm3TmTh",
  "functional": "PBE",
  "state": "relaxed",
  "lattice_angstrom": [[-5.054, -0.245, -0.732], [-1.086, -1.251, 7.913], [-0.021, 10.305, -3.296]],
  "species": ["Sm", "Sm", "Sm", "Sm", "Sm", "Sm", "Pr", "Pr", "Tm", "Tm", "Th", "Th"],
  "frac_coords": [[0.750, 0.371, 0.544], [0.250, 0.134, 0.955], [0.750, 0.385, 0.206], [0.250, 0.629, 0.456], [0.750, 0.866, 0.045], [0.250, 0.615, 0.794], [0.250, 0.122, 0.293], [0.750, 0.878, 0.707], [0.750, 0.872, 0.372], [0.250, 0.128, 0.628], [0.750, 0.379, 0.878], [0.250, 0.621, 0.122]],
  "dft_energy_ev_per_atom": -5.1067,
  "e_form_ev_per_atom": 0.031,
  "magnetic_moment_mub_per_fu": 0.0
}

***

{
  "formula": "Pr2Sm4TmTh",
  "functional": "PBE",
  "state": "relaxed",
  "lattice_angstrom": [[-4.063, 4.484, 0.313], [-1.953, -1.381, -5.568], [-6.853, -6.022, -2.688]],
  "species": ["Tm", "Th", "Sm", "Sm", "Sm", "Sm", "Pr", "Pr"],
  "frac_coords": [[0.000, 0.500, 0.500], [0.500, 0.500, 0.000], [0.500, 0.248, 0.752], [0.000, 0.747, 0.752], [0.000, 0.253, 0.248], [0.500, 0.752, 0.248], [0.500, 0.000, 0.500], [0.000, 0.000, 0.000]],
  "dft_energy_ev_per_atom": -4.9044,
  "e_form_ev_per_atom": 0.137,
  "magnetic_moment_mub_per_fu": 0.0
}

***

{
  "formula": "PrSm2Tm5Th",
  "functional": "PBE",
  "state": "relaxed",
  "lattice_angstrom": [[-8.488, -0.273, -1.775], [0.951, -7.956, -3.327], [2.429, 1.079, 9.425]],
  "species": ["Th", "Th", "Tm", "Tm", "Tm", "Tm", "Tm", "Tm", "Tm", "Tm", "Tm", "Tm", "Sm", "Sm", "Sm", "Sm", "Pr", "Pr"],
  "frac_coords": [[0.750, 0.750, 0.500], [0.250, 0.250, 0.500], [0.426, 0.349, 0.275], [0.349, 0.849, 0.275], [0.151, 0.074, 0.725], [0.574, 0.651, 0.725], [0.651, 0.151, 0.725], [0.849, 0.926, 0.275], [0.074, 0.574, 0.725], [0.500, 0.500, 0.000], [0.926, 0.426, 0.275], [0.000, 0.000, 0.000], [0.884, 0.616, 0.000], [0.116, 0.384, 0.000], [0.616, 0.116, 0.000], [0.384, 0.884, 0.000], [0.750, 0.250, 0.500], [0.250, 0.750, 0.500]],
  "dft_energy_ev_per_atom": -4.5976,
  "e_form_ev_per_atom": 0.291,
  "magnetic_moment_mub_per_fu": 0.0
}

***

{
  "formula": "PrSmTm5Th2",
  "functional": "PBE",
  "state": "relaxed",
  "lattice_angstrom": [[8.892, 0.000, 0.000], [0.000, 8.892, 0.000], [-4.446, -4.446, 7.503]],
  "species": ["Sm", "Sm", "Tm", "Tm", "Tm", "Tm", "Tm", "Tm", "Tm", "Tm", "Tm", "Tm", "Th", "Th", "Th", "Th", "Pr", "Pr"],
  "frac_coords": [[0.750, 0.250, 0.500], [0.250, 0.750, 0.500], [0.000, 0.000, 0.000], [0.342, 0.842, 0.273], [0.658, 0.158, 0.727], [0.430, 0.342, 0.273], [0.158, 0.070, 0.727], [0.930, 0.430, 0.273], [0.570, 0.658, 0.727], [0.842, 0.930, 0.273], [0.500, 0.500, 0.000], [0.070, 0.570, 0.727], [0.618, 0.118, 0.000], [0.118, 0.382, 0.000], [0.382, 0.882, 0.000], [0.882, 0.618, 0.000], [0.250, 0.250, 0.500], [0.750, 0.750, 0.500]],
  "dft_energy_ev_per_atom": -4.8616,
  "e_form_ev_per_atom": 0.327,
  "magnetic_moment_mub_per_fu": 0.0
}

***

{
  "formula": "PrSm3YTh",
  "functional": "PBE",
  "state": "relaxed",
  "lattice_angstrom": [[5.129, 0.000, 0.000], [0.000, 8.031, -1.177], [0.000, -3.372, 10.330]],
  "species": ["Y", "Y", "Sm", "Sm", "Sm", "Sm", "Sm", "Sm", "Th", "Th", "Pr", "Pr"],
  "frac_coords": [[0.750, 0.870, 0.371], [0.250, 0.130, 0.629], [0.250, 0.135, 0.957], [0.750, 0.375, 0.545], [0.750, 0.383, 0.205], [0.250, 0.625, 0.455], [0.250, 0.617, 0.795], [0.750, 0.865, 0.043], [0.750, 0.381, 0.879], [0.250, 0.619, 0.121], [0.250, 0.122, 0.291], [0.750, 0.878, 0.709]],
  "dft_energy_ev_per_atom": -5.4398,
  "e_form_ev_per_atom": 0.030,
  "magnetic_moment_mub_per_fu": 0.0
}

***

{
  "formula": "Pr6SmY2Th",
  "functional": "PBE",
  "state": "relaxed",
  "lattice_angstrom": [[-5.563, 4.915, 6.273], [-3.169, -7.995, 2.562], [7.662, 2.501, 3.945]],
  "species": ["Pr", "Pr", "Pr", "Pr", "Pr", "Pr", "Pr", "Pr", "Pr", "Pr", "Pr", "Pr", "Th", "Th", "Y", "Y", "Y", "Y", "Sm", "Sm"],
  "frac_coords": [[0.938, 0.894, 0.238], [0.811, 0.423, 0.990], [0.311, 0.990, 0.423], [0.062, 0.106, 0.762], [0.116, 0.701, 0.481], [0.884, 0.299, 0.519], [0.562, 0.762, 0.106], [0.689, 0.010, 0.577], [0.616, 0.481, 0.701], [0.189, 0.577, 0.010], [0.438, 0.238, 0.894], [0.384, 0.519, 0.299], [0.750, 0.035, 0.965], [0.250, 0.965, 0.035], [0.945, 0.713, 0.801], [0.055, 0.287, 0.199], [0.445, 0.801, 0.713], [0.555, 0.199, 0.287], [0.750, 0.594, 0.406], [0.250, 0.406, 0.594]],
  "dft_energy_ev_per_atom": -5.2336,
  "e_form_ev_per_atom": 0.141,
  "magnetic_moment_mub_per_fu": 0.0
}

***

{
  "formula": "Pr2Sm6Y3Th",
  "functional": "PBE",
  "state": "relaxed",
  "lattice_angstrom": [[6.286, 0.002, 0.012], [-3.140, 5.446, 0.012], [-1.068, -1.849, 11.829]],
  "species": ["Sm", "Sm", "Sm", "Sm", "Sm", "Sm", "Y", "Y", "Y", "Pr", "Pr", "Th"],
  "frac_coords": [[0.413, 0.084, 0.251], [0.916, 0.587, 0.749], [0.755, 0.755, 0.251], [0.245, 0.245, 0.749], [0.084, 0.413, 0.251], [0.587, 0.916, 0.749], [0.833, 0.167, 0.500], [0.500, 0.500, 0.500], [0.167, 0.833, 0.500], [0.334, 0.666, 0.000], [0.666, 0.334, 0.000], [0.000, 0.000, 0.000]],
  "dft_energy_ev_per_atom": -5.3572,
  "e_form_ev_per_atom": 0.033,
  "magnetic_moment_mub_per_fu": 0.0
}

***

{
  "formula": "PrSm2YTh",
  "functional": "PBE",
  "state": "relaxed",
  "lattice_angstrom": [[6.506, 0.000, 0.000], [0.000, 8.561, 0.898], [0.000, -1.601, 6.218]],
  "species": ["Y", "Y", "Pr", "Pr", "Sm", "Sm", "Sm", "Sm", "Th", "Th"],
  "frac_coords": [[0.828, 0.500, 0.250], [0.172, 0.500, 0.750], [0.000, 0.000, 0.000], [0.000, 0.000, 0.500], [0.313, 0.314, 0.202], [0.687, 0.314, 0.702], [0.313, 0.686, 0.298], [0.687, 0.686, 0.798], [0.549, 0.000, 0.250], [0.451, 0.000, 0.750]],
  "dft_energy_ev_per_atom": -5.3148,
  "e_form_ev_per_atom": 0.306,
  "magnetic_moment_mub_per_fu": 0.0
}

***

{
  "formula": "PrSm5Y2Th",
  "functional": "PBE",
  "state": "relaxed",
  "lattice_angstrom": [[-3.836, 3.689, 2.091], [-3.124, -2.086, -9.869], [-5.831, -8.076, 3.553]],
  "species": ["Sm", "Sm", "Sm", "Sm", "Sm", "Sm", "Sm", "Sm", "Sm", "Sm", "Th", "Th", "Y", "Y", "Y", "Y", "Pr", "Pr"],
  "frac_coords": [[0.706, 0.411, 0.205], [0.390, 0.780, 0.027], [0.278, 0.555, 0.314], [0.523, 0.045, 0.240], [0.294, 0.589, 0.705], [0.017, 0.034, 0.024], [0.983, 0.966, 0.524], [0.722, 0.445, 0.814], [0.477, 0.955, 0.740], [0.610, 0.220, 0.527], [0.799, 0.597, 0.513], [0.201, 0.403, 0.013], [0.116, 0.231, 0.321], [0.887, 0.773, 0.233], [0.884, 0.769, 0.821], [0.113, 0.227, 0.733], [0.412, 0.824, 0.448], [0.588, 0.176, 0.948]],
  "dft_energy_ev_per_atom": -5.2536,
  "e_form_ev_per_atom": 0.160,
  "magnetic_moment_mub_per_fu": 0.0
}

***

{
  "formula": "Pr5SmY2Th",
  "functional": "PBE",
  "state": "relaxed",
  "lattice_angstrom": [[5.748, 0.000, 0.000], [-2.874, 10.360, 0.000], [0.000, 0.000, 10.682]],
  "species": ["Pr", "Pr", "Pr", "Pr", "Pr", "Pr", "Pr", "Pr", "Pr", "Pr", "Y", "Y", "Y", "Y", "Sm", "Sm", "Th", "Th"],
  "frac_coords": [[0.292, 0.584, 0.702], [0.016, 0.031, 0.021], [0.612, 0.224, 0.526], [0.480, 0.960, 0.745], [0.722, 0.445, 0.812], [0.984, 0.969, 0.521], [0.708, 0.416, 0.202], [0.520, 0.040, 0.245], [0.278, 0.555, 0.312], [0.388, 0.776, 0.026], [0.113, 0.225, 0.737], [0.117, 0.234, 0.316], [0.887, 0.775, 0.237], [0.883, 0.766, 0.816], [0.407, 0.814, 0.455], [0.593, 0.186, 0.955], [0.200, 0.401, 0.011], [0.800, 0.599, 0.511]],
  "dft_energy_ev_per_atom": -5.2867,
  "e_form_ev_per_atom": 0.154,
  "magnetic_moment_mub_per_fu": 0.0
}

***

{
  "formula": "Pr5Sm2YTh",
  "functional": "PBE",
  "state": "relaxed",
  "lattice_angstrom": [[5.489, 0.000, 0.000], [-2.744, 11.056, 0.000], [0.000, 0.000, 10.640]],
  "species": ["Sm", "Sm", "Sm", "Sm", "Pr", "Pr", "Pr", "Pr", "Pr", "Pr", "Pr", "Pr", "Pr", "Pr", "Th", "Th", "Y", "Y"],
  "frac_coords": [[0.887, 0.774, 0.263], [0.113, 0.226, 0.253], [0.887, 0.774, 0.753], [0.113, 0.226, 0.763], [0.002, 0.005, 0.508], [0.500, 0.000, 0.258], [0.500, 0.000, 0.758], [0.723, 0.446, 0.816], [0.373, 0.745, 0.008], [0.277, 0.554, 0.316], [0.627, 0.255, 0.508], [0.723, 0.446, 0.200], [0.277, 0.554, 0.700], [0.998, 0.995, 0.008], [0.212, 0.424, 0.008], [0.788, 0.576, 0.508], [0.398, 0.795, 0.508], [0.602, 0.205, 0.008]],
  "dft_energy_ev_per_atom": -5.1100,
  "e_form_ev_per_atom": 0.137,
  "magnetic_moment_mub_per_fu": 0.0
}

***

{
  "formula": "PrSm2Y5Th",
  "functional": "PBE",
  "state": "relaxed",
  "lattice_angstrom": [[8.773, 0.000, 0.000], [0.000, 8.773, 0.000], [-4.387, -4.387, 7.737]],
  "species": ["Y", "Y", "Y", "Y", "Y", "Y", "Y", "Y", "Y", "Y", "Th", "Th", "Pr", "Pr", "Sm", "Sm", "Sm", "Sm"],
  "frac_coords": [[0.348, 0.848, 0.274], [0.427, 0.348, 0.274], [0.000, 0.000, 0.000], [0.848, 0.927, 0.274], [0.573, 0.652, 0.726], [0.500, 0.500, 0.000], [0.073, 0.573, 0.726], [0.152, 0.073, 0.726], [0.652, 0.152, 0.726], [0.927, 0.427, 0.274], [0.250, 0.250, 0.500], [0.750, 0.750, 0.500], [0.250, 0.750, 0.500], [0.750, 0.250, 0.500], [0.884, 0.616, 0.000], [0.384, 0.884, 0.000], [0.116, 0.384, 0.000], [0.616, 0.116, 0.000]],
  "dft_energy_ev_per_atom": -5.7143,
  "e_form_ev_per_atom": 0.281,
  "magnetic_moment_mub_per_fu": 0.0
}

***

{
  "formula": "Pr2SmY5Th",
  "functional": "PBE",
  "state": "relaxed",
  "lattice_angstrom": [[8.769, 0.000, 0.000], [0.000, 8.769, 0.000], [-4.384, -4.384, 7.812]],
  "species": ["Y", "Y", "Y", "Y", "Y", "Y", "Y", "Y", "Y", "Y", "Pr", "Pr", "Pr", "Pr", "Th", "Th", "Sm", "Sm"],
  "frac_coords": [[0.352, 0.852, 0.280], [0.148, 0.073, 0.720], [0.500, 0.500, 0.000], [0.000, 0.000, 0.000], [0.852, 0.927, 0.280], [0.073, 0.573, 0.720], [0.648, 0.148, 0.720], [0.427, 0.352, 0.280], [0.573, 0.648, 0.720], [0.927, 0.427, 0.280], [0.383, 0.883, 0.000], [0.117, 0.383, 0.000], [0.617, 0.117, 0.000], [0.883, 0.617, 0.000], [0.250, 0.250, 0.500], [0.750, 0.750, 0.500], [0.250, 0.750, 0.500], [0.750, 0.250, 0.500]],
  "dft_energy_ev_per_atom": -5.7245,
  "e_form_ev_per_atom": 0.278,
  "magnetic_moment_mub_per_fu": 0.0
}

***

{
  "formula": "PrSmYTh2",
  "functional": "PBE",
  "state": "relaxed",
  "lattice_angstrom": [[-3.844, 5.514, -0.400], [-5.488, -3.839, -0.180], [2.298, 2.184, 8.039]],
  "species": ["Y", "Y", "Th", "Th", "Th", "Th", "Pr", "Pr", "Sm", "Sm"],
  "frac_coords": [[0.750, 0.347, 0.695], [0.250, 0.653, 0.305], [0.000, 0.255, 0.000], [0.500, 0.745, 0.000], [0.500, 0.255, 0.000], [0.000, 0.745, 0.000], [0.250, 0.849, 0.699], [0.750, 0.151, 0.301], [0.750, 0.723, 0.447], [0.250, 0.277, 0.553]],
  "dft_energy_ev_per_atom": -5.7649,
  "e_form_ev_per_atom": 0.396,
  "magnetic_moment_mub_per_fu": 0.0
}